The following is a DFT calculation (PBE) of a relaxed K2NdTaO6 crystal.

Summary:
Total DFT energy (no corrections) (eV per formula unit): -71.32
Formation energy (no corrections) (eV per atom): -2.2759
M_tot (μB/cell): 4.06

a b c (Å): 6.1698 6.1699 10.6883
angles (deg): 90.00 125.25 90.00
With the nearest neighbours (Å) after each atom.
Positions (direct):
K: 0.2500 0.0003 0.2500  12 O 3.08-3.10
K: 0.2500 0.4997 0.7500  12 O 3.08-3.10
K: 0.7500 0.9997 0.7500  12 O 3.08-3.10
K: 0.7500 0.5003 0.2500  12 O 3.08-3.10
Nd: 0.0000 0.0000 0.5000  6 O 2.37
Nd: 0.0000 0.5000 0.0000  6 O 2.37
Ta: 0.5000 0.0000 0.0000  6 O 2.00
Ta: 0.5000 0.5000 0.5000  6 O 2.00
O: 0.2702 0.9999 0.7712  1 Ta 2.00
O: 0.2702 0.5001 0.2712  1 Ta 2.00
O: 0.2709 0.2282 0.0005  1 Ta 2.00
O: 0.2709 0.2718 0.5005  1 Ta 2.00
O: 0.2724 0.7296 0.5006  1 Ta 2.00
O: 0.2724 0.7704 0.0006  1 Ta 2.00
O: 0.7276 0.2296 0.9994  1 Ta 2.00
O: 0.7276 0.2704 0.4994  1 Ta 2.00
O: 0.7291 0.7282 0.4995  1 Ta 2.00
O: 0.7291 0.7718 0.9995  1 Ta 2.00
O: 0.7298 0.0001 0.2288  1 Ta 2.00
O: 0.7298 0.4999 0.7288  1 Ta 2.00

The following is a DFT calculation (PBE) of a relaxed K3NdTa2O9 crystal.

Summary:
Total DFT energy (no corrections) (eV per formula unit): -112.48
Formation energy (no corrections) (eV per atom): -2.4061
M_tot (μB/cell): 2.05

a b c (Å): 5.9918 5.9918 7.4322
angles (deg): 90.00 90.00 120.00
With the nearest neighbours (Å) after each atom.
Positions (direct):
K: 0.0000 0.0000 0.0000  12 O 2.94-3.00
K: 0.3333 0.6667 0.6747  12 O 2.97-3.17
K: 0.6667 0.3333 0.3253  12 O 2.97-3.17
Nd: 0.0000 0.0000 0.5000  6 O 2.35
Ta: 0.3333 0.6667 0.1605  6 O 1.94-2.10
Ta: 0.6667 0.3333 0.8395  6 O 1.94-2.10
O: 0.0000 0.5000 0.0000  2 Ta 2.10
O: 0.1789 0.3578 0.3066  1 Ta 1.94
O: 0.1789 0.8211 0.3066  1 Ta 1.94
O: 0.3578 0.1789 0.6934  1 Ta 1.94
O: 0.5000 0.0000 0.0000  2 Ta 2.10
O: 0.5000 0.5000 0.0000  2 Ta 2.10
O: 0.6422 0.8211 0.3066  1 Ta 1.94
O: 0.8211 0.1789 0.6934  1 Ta 1.94
O: 0.8211 0.6422 0.6934  1 Ta 1.94

The following is a DFT calculation (PBE) of a relaxed K3Tb2NdO6 crystal.

Summary:
Total DFT energy (no corrections) (eV per formula unit): -79.45
Formation energy (no corrections) (eV per atom): -2.6985
M_tot (μB/cell): 0.00

a b c (Å): 6.1546 6.1546 6.6101
angles (deg): 98.93 98.93 120.01
With the nearest neighbours (Å) after each atom.
Positions (direct):
K: 0.0000 0.0000 0.0000  6 O 2.80-2.86
K: 0.3319 0.6681 0.0000  6 O 2.79-2.87
K: 0.6681 0.3319 0.0000  6 O 2.79-2.87
Tb: 0.1666 0.8334 0.5000  6 O 2.34
Tb: 0.8334 0.1666 0.5000  6 O 2.34
Nd: 0.5000 0.5000 0.5000  6 O 2.41
O: 0.0953 0.4374 0.3125  2 Tb 2.34, 1 Nd 2.41
O: 0.2205 0.2205 0.6879  2 Tb 2.34, 1 Nd 2.41
O: 0.4374 0.0953 0.3125  2 Tb 2.34, 1 Nd 2.41
O: 0.5626 0.9047 0.6875  2 Tb 2.34, 1 Nd 2.41
O: 0.7795 0.7795 0.3121  2 Tb 2.34, 1 Nd 2.41
O: 0.9047 0.5626 0.6875  2 Tb 2.34, 1 Nd 2.41

The following is a DFT calculation (PBE) of a relaxed K2Nd2TcO6 crystal.

Summary:
Total DFT energy (no corrections) (eV per formula unit): -76.45
Formation energy (no corrections) (eV per atom): -2.2371
M_tot (μB/cell): 3.00

a b c (Å): 5.9719 5.9719 6.6146
angles (deg): 97.48 97.48 119.37
With the nearest neighbours (Å) after each atom.
Positions (direct):
K: 0.1561 0.8439 0.0000  4 O 2.72-2.76
K: 0.8439 0.1561 0.0000  4 O 2.72-2.76
Nd: 0.3356 0.6644 0.5000  6 O 2.37-2.40
Nd: 0.6644 0.3356 0.5000  6 O 2.37-2.40
Tc: 0.0000 0.0000 0.5000  6 O 2.08-2.11
O: 0.0446 0.3480 0.6727  1 Tc 2.11
O: 0.2390 0.2390 0.3224  1 Tc 2.08
O: 0.3480 0.0446 0.6727  1 Tc 2.11
O: 0.6520 0.9554 0.3273  1 Tc 2.11
O: 0.7610 0.7610 0.6776  1 Tc 2.08
O: 0.9554 0.6520 0.3273  1 Tc 2.11

The following is a DFT calculation (PBE) of a relaxed KNdTc2O8 crystal.

Summary:
Total DFT energy (no corrections) (eV per formula unit): -88.92
Formation energy (no corrections) (eV per atom): -1.8877
M_tot (μB/cell): 2.04

a b c (Å): 6.0757 6.0757 7.7345
angles (deg): 90.00 90.00 120.00
With the nearest neighbours (Å) after each atom.
Positions (direct):
K: 0.0000 0.0000 0.0000  6 O 2.99
Nd: 0.0000 0.0000 0.5000  6 O 2.35
Tc: 0.3333 0.6667 0.7732  4 O 1.74-1.80
Tc: 0.6667 0.3333 0.2268  4 O 1.74-1.80
O: 0.1726 0.3452 0.6934  1 Tc 1.80
O: 0.1726 0.8274 0.6934  1 Tc 1.80
O: 0.3333 0.6667 0.9988  1 Tc 1.74
O: 0.3452 0.1726 0.3066  1 Tc 1.80
O: 0.6548 0.8274 0.6934  1 Tc 1.80
O: 0.6667 0.3333 0.0012  1 Tc 1.74
O: 0.8274 0.1726 0.3066  1 Tc 1.80
O: 0.8274 0.6548 0.3066  1 Tc 1.80

The following is a DFT calculation (PBE) of a relaxed K4NdTc3O12 crystal.

Summary:
Total DFT energy (no corrections) (eV per formula unit): -133.87
Formation energy (no corrections) (eV per atom): -1.7060
M_tot (μB/cell): 1.21

a b c (Å): 7.1069 7.1069 7.1069
angles (deg): 109.47 109.47 109.47
With the nearest neighbours (Å) after each atom.
Positions (direct):
K: 0.0000 0.0000 0.5000  12 O 2.90-2.91
K: 0.0000 0.5000 0.0000  12 O 2.90-2.91
K: 0.5000 0.0000 0.0000  12 O 2.90-2.91
K: 0.5000 0.5000 0.5000  12 O 2.90-2.91
Nd: 0.0000 0.0000 0.0000  6 O 2.26
Tc: 0.0000 0.5000 0.5000  6 O 1.85-2.05
Tc: 0.5000 0.0000 0.5000  6 O 1.85-2.05
Tc: 0.5000 0.5000 0.0000  6 O 1.85-2.05
O: 0.0000 0.2751 0.2751  1 Tc 1.85
O: 0.0000 0.7249 0.7249  1 Tc 1.85
O: 0.2500 0.5000 0.7500  2 Tc 2.05
O: 0.2500 0.7500 0.5000  2 Tc 2.05
O: 0.2751 0.0000 0.2751  1 Tc 1.85
O: 0.2751 0.2751 0.0000  1 Tc 1.85
O: 0.5000 0.2500 0.7500  2 Tc 2.05
O: 0.5000 0.7500 0.2500  2 Tc 2.05
O: 0.7249 0.0000 0.7249  1 Tc 1.85
O: 0.7249 0.7249 0.0000  1 Tc 1.85
O: 0.7500 0.2500 0.5000  2 Tc 2.05
O: 0.7500 0.5000 0.2500  2 Tc 2.05

The following is a DFT calculation (PBE) of a relaxed KNdTcO5 crystal.

Summary:
Total DFT energy (no corrections) (eV per formula unit): -57.32
Formation energy (no corrections) (eV per atom): -2.0369
M_tot (μB/cell): 2.03

a b c (Å): 6.4586 6.4586 8.3388
angles (deg): 103.22 103.22 106.98
With the nearest neighbours (Å) after each atom.
Positions (direct):
K: 0.1769 0.8231 0.7500  1 O 2.54
K: 0.8231 0.1769 0.2500  1 O 2.54
Nd: 0.5000 0.5000 0.0000  6 O 2.24-2.50
Nd: 0.5000 0.5000 0.5000  6 O 2.24-2.50
Tc: 0.1771 0.8229 0.2500  4 O 1.79-1.80
Tc: 0.8229 0.1771 0.7500  4 O 1.79-1.80
O: 0.0933 0.2369 0.9048  1 Tc 1.79
O: 0.1934 0.6277 0.3710  1 Tc 1.80
O: 0.2369 0.0933 0.4048  1 Tc 1.79
O: 0.3723 0.8066 0.1290  1 Tc 1.80
O: 0.4216 0.5784 0.7500  2 Nd 2.24
O: 0.5784 0.4216 0.2500  2 Nd 2.24
O: 0.6277 0.1934 0.8710  1 Tc 1.80
O: 0.7631 0.9067 0.5952  1 Tc 1.79
O: 0.8066 0.3723 0.6290  1 Tc 1.80
O: 0.9067 0.7631 0.0952  1 Tc 1.79

The following is a DFT calculation (PBE) of a relaxed K2NdTe2O6 crystal.

Summary:
Total DFT energy (no corrections) (eV per formula unit): -60.64
Formation energy (no corrections) (eV per atom): -1.6037
M_tot (μB/cell): 0.00

a b c (Å): 6.1417 6.1417 7.1585
angles (deg): 108.62 108.62 69.01
With the nearest neighbours (Å) after each atom.
Positions (direct):
K: 0.2017 0.2017 0.1312  3 O 2.68-2.77
K: 0.7983 0.7983 0.8688  3 O 2.68-2.77
Nd: 0.0000 0.0000 0.5000  6 O 2.35-2.47
Te: 0.4282 0.4282 0.7597  3 O 1.91-1.99
Te: 0.5718 0.5718 0.2403  3 O 1.91-1.99
O: 0.1494 0.7006 0.6831  1 Te 1.99
O: 0.2429 0.2429 0.7704  1 Te 1.91
O: 0.2994 0.8506 0.3169  1 Te 1.99
O: 0.7006 0.1494 0.6831  1 Te 1.99
O: 0.7571 0.7571 0.2296  1 Te 1.91
O: 0.8506 0.2994 0.3169  1 Te 1.99

- Which value of total DFT energy (no corrections) does entry 6 give?
  -133.87 eV per formula unit

- M_tot of number 8 (K2NdTe2O6)?
  0.00 μB/cell

Copy entry 7 word for word.
The following is a DFT calculation (PBE) of a relaxed KNdTcO5 crystal.

Summary:
Total DFT energy (no corrections) (eV per formula unit): -57.32
Formation energy (no corrections) (eV per atom): -2.0369
M_tot (μB/cell): 2.03

a b c (Å): 6.4586 6.4586 8.3388
angles (deg): 103.22 103.22 106.98
With the nearest neighbours (Å) after each atom.
Positions (direct):
K: 0.1769 0.8231 0.7500  1 O 2.54
K: 0.8231 0.1769 0.2500  1 O 2.54
Nd: 0.5000 0.5000 0.0000  6 O 2.24-2.50
Nd: 0.5000 0.5000 0.5000  6 O 2.24-2.50
Tc: 0.1771 0.8229 0.2500  4 O 1.79-1.80
Tc: 0.8229 0.1771 0.7500  4 O 1.79-1.80
O: 0.0933 0.2369 0.9048  1 Tc 1.79
O: 0.1934 0.6277 0.3710  1 Tc 1.80
O: 0.2369 0.0933 0.4048  1 Tc 1.79
O: 0.3723 0.8066 0.1290  1 Tc 1.80
O: 0.4216 0.5784 0.7500  2 Nd 2.24
O: 0.5784 0.4216 0.2500  2 Nd 2.24
O: 0.6277 0.1934 0.8710  1 Tc 1.80
O: 0.7631 0.9067 0.5952  1 Tc 1.79
O: 0.8066 0.3723 0.6290  1 Tc 1.80
O: 0.9067 0.7631 0.0952  1 Tc 1.79